# 1
Below is a relaxed AgWOF2 crystal, with properties calculated at the GGA-PBEsol level.

Cell: 4.159 4.159 4.147 Å, 90.00 90.00 90.00°
Last column: magnetic moment on the atom in μB.
Fractional coordinates of all 5 atoms:
O  0.000  0.000  0.500  -0.15
Ag  0.000  0.000  0.000  -0.01
W  0.500  0.500  0.500  3.23
F  0.000  0.500  0.000  0.05
F  0.500  0.000  0.000  0.05

Summary:
* size of the total moment: 4.07 Bohr magnetons per cell
* calculated density: 8.0 Mg/m³
* total energy: -23.67 eV/cell
* volume: 71.7 Å³/cell
* uncorrected formation energy: 2.55 eV per formula unit

=====

# 2
Below is a relaxed ZnAgOF2 crystal, with properties calculated at the GGA-PBEsol level.

Cell: 4.060 4.147 4.147 Å, 90.00 90.00 90.00°
Fractional coordinates of all 5 atoms:
Zn  0.500  0.500  0.500
O  0.500  0.000  0.000
Ag  0.000  0.000  0.000
F  0.000  0.000  0.500
F  0.000  0.500  0.000

Summary:
* size of the total moment: 0.00 Bohr magnetons per cell
* calculated density: 5.4 Mg/m³
* total energy: -16.42 eV/cell
* volume: 69.8 Å³/cell
* uncorrected formation energy: -2.43 eV per formula unit

=====

# 3
Below is a relaxed ZrAgOF2 crystal, with properties calculated at the GGA-PBEsol level.

Cell: 4.027 4.252 4.252 Å, 90.00 90.00 90.00°
Fractional coordinates of all 5 atoms:
O  0.500  0.000  0.000
Zr  0.000  0.000  0.000
Ag  0.500  0.500  0.500
F  0.000  0.000  0.500
F  0.000  0.500  0.000

Summary:
* size of the total moment: 0.00 Bohr magnetons per cell
* calculated density: 5.8 Mg/m³
* total energy: -32.78 eV/cell
* volume: 72.8 Å³/cell
* uncorrected formation energy: -11.28 eV per formula unit

=====

# 4
Below is a relaxed AgOsRh2F crystal, with properties calculated at the GGA-PBEsol level.

Cell: 4.063 4.063 4.349 Å, 90.00 90.00 90.00°
Fractional coordinates of all 5 atoms:
Rh  0.000  0.500  0.000
Rh  0.500  0.000  0.000
Os  0.500  0.500  0.500
Ag  0.000  0.000  0.500
F  0.000  0.000  0.000

Summary:
* size of the total moment: 0.05 Bohr magnetons per cell
* calculated density: 12.1 Mg/m³
* total energy: -28.34 eV/cell
* volume: 71.8 Å³/cell
* uncorrected formation energy: 5.40 eV per formula unit